Material: CdPtAu2
Method: DFT, GGA-PBEsol
State: optimized geometry

## Properties
size of the total moment = 0.00 Bohr magnetons per cell
D(E_F) = 1.28 states/eV/f.u.
volume = 16.831 Å³ per atom
DFT formation energy = -0.1080 eV/atom
DFT total energy = -16.4 eV/f.u.

```
data_CdPtAu2
_chemical_formula_sum 'Cd1 Pt1 Au2'
_cell_length_a 2.942
_cell_length_b 4.921
_cell_length_c 4.962
_cell_angle_alpha 100.74
_cell_angle_beta 107.12
_cell_angle_gamma 90.04
_space_group_name_H-M_alt 'P 1'
_space_group_IT_number 1
_space_group_name_Hall 'P 1'
loop_
_atom_site_label
_atom_site_type_symbol
_atom_site_fract_x
_atom_site_fract_y
_atom_site_fract_z
Cd1 Cd 0.000 0.000 0.000
Pt1 Pt 0.253 0.762 0.505
Au1 Au 0.506 0.507 0.012
Au2 Au 0.754 0.264 0.507
```

Material: MnZn2Ir
Method: DFT, GGA-PBEsol
State: optimized geometry

## Properties
size of the total moment = 5.56 Bohr magnetons per cell
D(E_F) = 3.07 states/eV/f.u.
volume = 13.366 Å³ per atom
DFT formation energy = 0.0215 eV/atom
DFT total energy = -22.7 eV/f.u.

```
data_MnZn2Ir
_chemical_formula_sum 'Mn2 Zn4 Ir2'
_cell_length_a 5.178
_cell_length_b 8.721
_cell_length_c 2.686
_cell_angle_alpha 90.00
_cell_angle_beta 118.16
_cell_angle_gamma 90.00
_space_group_name_H-M_alt 'C 1 2/m 1'
_space_group_IT_number 12
_space_group_name_Hall '-C 2y'
loop_
_atom_site_label
_atom_site_type_symbol
_atom_site_fract_x
_atom_site_fract_y
_atom_site_fract_z
Mn1 Mn 0.000 0.000 0.000
Zn1 Zn 0.250 0.250 0.500
Ir1 Ir 0.000 0.500 0.000
```

Material: Ca2ZnIr
Method: DFT, GGA-PBEsol
State: optimized geometry

## Properties
size of the total moment = 0.00 Bohr magnetons per cell
D(E_F) = 3.00 states/eV/f.u.
volume = 22.489 Å³ per atom
DFT formation energy = 0.1523 eV/atom
DFT total energy = -15.1 eV/f.u.

```
data_Ca2ZnIr
_chemical_formula_sum 'Ca6 Zn3 Ir3'
_cell_length_a 3.3984
_cell_length_b 3.3984
_cell_length_c 26.9816
_cell_angle_alpha 90.00
_cell_angle_beta 90.00
_cell_angle_gamma 120.00
_space_group_name_H-M_alt 'R -3 m'
_space_group_IT_number 166
_space_group_name_Hall '-R 3 2"'
loop_
_atom_site_label
_atom_site_type_symbol
_atom_site_fract_x
_atom_site_fract_y
_atom_site_fract_z
Ca1 Ca 0.0000 0.0000 0.2415
Zn1 Zn 0.0000 0.0000 0.0000
Ir1 Ir 0.0000 0.0000 0.5000
```

Material: YMg2Pb
Method: DFT, GGA-PBEsol
State: optimized geometry

## Properties
size of the total moment = 0.00 Bohr magnetons per cell
D(E_F) = 1.44 states/eV/f.u.
volume = 24.170 Å³ per atom
DFT formation energy = -0.3571 eV/atom
DFT total energy = -15.7 eV/f.u.

```
data_YMg2Pb
_chemical_formula_sum 'Y1 Mg2 Pb1'
_cell_length_a 4.512
_cell_length_b 4.512
_cell_length_c 4.749
_cell_angle_alpha 90.00
_cell_angle_beta 90.00
_cell_angle_gamma 90.00
_space_group_name_H-M_alt 'P 4/m m m'
_space_group_IT_number 123
_space_group_name_Hall '-P 4 2'
loop_
_atom_site_label
_atom_site_type_symbol
_atom_site_fract_x
_atom_site_fract_y
_atom_site_fract_z
Y1 Y 0.000 0.000 0.000
Mg1 Mg 0.000 0.500 0.500
Pb1 Pb 0.500 0.500 0.000
```

Material: Sr3InSn
Method: DFT, GGA-PBEsol
State: optimized geometry

## Properties
size of the total moment = 0.00 Bohr magnetons per cell
D(E_F) = 6.35 states/eV/f.u.
volume = 48.173 Å³ per atom
DFT formation energy = -0.0819 eV/atom
DFT total energy = -13.2 eV/f.u.

```
data_Sr3InSn
_chemical_formula_sum 'Sr3 In1 Sn1'
_cell_length_a 6.222
_cell_length_b 6.222
_cell_length_c 6.222
_cell_angle_alpha 90.00
_cell_angle_beta 90.00
_cell_angle_gamma 90.00
_space_group_name_H-M_alt 'P m -3 m'
_space_group_IT_number 221
_space_group_name_Hall '-P 4 2 3'
loop_
_atom_site_label
_atom_site_type_symbol
_atom_site_fract_x
_atom_site_fract_y
_atom_site_fract_z
Sr1 Sr 0.000 0.000 0.500
In1 In 0.500 0.500 0.500
Sn1 Sn 0.000 0.000 0.000
```

Material: HgIr3S
Method: DFT, GGA-PBEsol
State: optimized geometry

## Properties
size of the total moment = 0.00 Bohr magnetons per cell
D(E_F) = 4.34 states/eV/f.u.
volume = 16.844 Å³ per atom
DFT total energy = -30.4 eV/f.u.
formation energy (no corrections) = 0.804 eV/atom

```
data_HgIr3S
_chemical_formula_sum 'Hg1 Ir3 S1'
_cell_length_a 4.383
_cell_length_b 4.383
_cell_length_c 4.383
_cell_angle_alpha 90.00
_cell_angle_beta 90.00
_cell_angle_gamma 90.00
_space_group_name_H-M_alt 'P m -3 m'
_space_group_IT_number 221
_space_group_name_Hall '-P 4 2 3'
loop_
_atom_site_label
_atom_site_type_symbol
_atom_site_fract_x
_atom_site_fract_y
_atom_site_fract_z
Hg1 Hg 0.000 0.000 0.000
Ir1 Ir 0.000 0.500 0.500
S1 S 0.500 0.500 0.500
```

Material: ZrBi2TeAu
Method: DFT, GGA-PBEsol
State: optimized geometry

## Properties
size of the total moment = 0.00 Bohr magnetons per cell
D(E_F) = 5.71 states/eV/f.u.
volume = 32.449 Å³ per atom
DFT total energy = -22.5 eV/f.u.
formation energy (no corrections) = 0.530 eV/atom

```
data_ZrBi2TeAu
_chemical_formula_sum 'Zr1 Bi2 Te1 Au1'
_cell_length_a 5.653
_cell_length_b 5.653
_cell_length_c 5.077
_cell_angle_alpha 90.00
_cell_angle_beta 90.00
_cell_angle_gamma 90.00
_space_group_name_H-M_alt 'P 4/m m m'
_space_group_IT_number 123
_space_group_name_Hall '-P 4 2'
loop_
_atom_site_label
_atom_site_type_symbol
_atom_site_fract_x
_atom_site_fract_y
_atom_site_fract_z
Zr1 Zr 0.000 0.000 0.000
Bi1 Bi 0.000 0.500 0.000
Te1 Te 0.500 0.500 0.500
Au1 Au 0.000 0.000 0.500
```

Material: CdPdS2N
Method: DFT, GGA-PBEsol
State: optimized geometry

## Properties
size of the total moment = 2.41 Bohr magnetons per cell
D(E_F) = 4.23 states/eV/f.u.
volume = 19.472 Å³ per atom
DFT total energy = -17.2 eV/f.u.
formation energy (no corrections) = 1.445 eV/atom

```
data_CdPdS2N
_chemical_formula_sum 'Cd1 Pd1 S2 N1'
_cell_length_a 4.930
_cell_length_b 4.930
_cell_length_c 4.006
_cell_angle_alpha 90.00
_cell_angle_beta 90.00
_cell_angle_gamma 90.00
_space_group_name_H-M_alt 'P 4/m m m'
_space_group_IT_number 123
_space_group_name_Hall '-P 4 2'
loop_
_atom_site_label
_atom_site_type_symbol
_atom_site_fract_x
_atom_site_fract_y
_atom_site_fract_z
Cd1 Cd 0.000 0.000 0.000
Pd1 Pd 0.500 0.500 0.500
S1 S 0.000 0.500 0.000
N1 N 0.000 0.000 0.500
```

Material: RbZnSiOs2
Method: DFT, GGA-PBEsol
State: optimized geometry

## Properties
size of the total moment = 2.27 Bohr magnetons per cell
D(E_F) = 5.97 states/eV/f.u.
volume = 20.414 Å³ per atom
DFT total energy = -23.0 eV/f.u.
formation energy (no corrections) = 1.953 eV/atom

```
data_RbZnSiOs2
_chemical_formula_sum 'Rb1 Zn1 Si1 Os2'
_cell_length_a 4.728
_cell_length_b 4.728
_cell_length_c 4.566
_cell_angle_alpha 90.00
_cell_angle_beta 90.00
_cell_angle_gamma 90.00
_space_group_name_H-M_alt 'P 4/m m m'
_space_group_IT_number 123
_space_group_name_Hall '-P 4 2'
loop_
_atom_site_label
_atom_site_type_symbol
_atom_site_fract_x
_atom_site_fract_y
_atom_site_fract_z
Rb1 Rb 0.000 0.000 0.000
Zn1 Zn 0.500 0.500 0.500
Si1 Si 0.500 0.500 0.000
Os1 Os 0.000 0.500 0.500
```

Material: BeMoIr2
Method: DFT, GGA-PBEsol
State: optimized geometry

## Properties
size of the total moment = 0.00 Bohr magnetons per cell
D(E_F) = 2.62 states/eV/f.u.
volume = 13.215 Å³ per atom
DFT formation energy = -0.0092 eV/atom
DFT total energy = -35.5 eV/f.u.

```
data_BeMoIr2
_chemical_formula_sum 'Be2 Mo2 Ir4'
_cell_length_a 2.868
_cell_length_b 4.533
_cell_length_c 8.131
_cell_angle_alpha 90.00
_cell_angle_beta 90.00
_cell_angle_gamma 90.00
_space_group_name_H-M_alt 'C m m m'
_space_group_IT_number 65
_space_group_name_Hall '-C 2 2'
loop_
_atom_site_label
_atom_site_type_symbol
_atom_site_fract_x
_atom_site_fract_y
_atom_site_fract_z
Be1 Be 0.000 0.000 0.000
Mo1 Mo 0.000 0.000 0.500
Ir1 Ir 0.000 0.500 0.221
```

Material: Ba2CuPt
Method: DFT, GGA-PBEsol
State: optimized geometry

## Properties
size of the total moment = 0.00 Bohr magnetons per cell
D(E_F) = 2.58 states/eV/f.u.
volume = 29.507 Å³ per atom
DFT formation energy = -0.3441 eV/atom
DFT total energy = -17.0 eV/f.u.

```
data_Ba2CuPt
_chemical_formula_sum 'Ba4 Cu2 Pt2'
_cell_length_a 4.521
_cell_length_b 4.497
_cell_length_c 11.611
_cell_angle_alpha 90.00
_cell_angle_beta 90.00
_cell_angle_gamma 90.00
_space_group_name_H-M_alt 'A m m 2'
_space_group_IT_number 38
_space_group_name_Hall 'A 2 -2'
loop_
_atom_site_label
_atom_site_type_symbol
_atom_site_fract_x
_atom_site_fract_y
_atom_site_fract_z
Ba1 Ba 0.000 0.000 0.000
Ba2 Ba 0.500 0.000 0.282
Cu1 Cu 0.000 0.000 0.693
Pt1 Pt 0.500 0.000 0.582
```

Material: CsHS3
Method: DFT, GGA-PBEsol
State: optimized geometry

## Properties
size of the total moment = 6.00 Bohr magnetons per cell
D(E_F) = 9.14 states/eV/f.u.
volume = 53.583 Å³ per atom
DFT total energy = -9.2 eV/f.u.

```
data_CsHS3
_chemical_formula_sum 'Cs1 H1 S3'
_cell_length_a 6.447
_cell_length_b 6.447
_cell_length_c 6.447
_cell_angle_alpha 90.00
_cell_angle_beta 90.00
_cell_angle_gamma 90.00
_space_group_name_H-M_alt 'P m -3 m'
_space_group_IT_number 221
_space_group_name_Hall '-P 4 2 3'
loop_
_atom_site_label
_atom_site_type_symbol
_atom_site_fract_x
_atom_site_fract_y
_atom_site_fract_z
Cs1 Cs 0.000 0.000 0.000
H1 H 0.500 0.500 0.500
S1 S 0.000 0.000 0.500
```

Material: Ca3SiHg
Method: DFT, GGA-PBEsol
State: optimized geometry

## Properties
size of the total moment = 0.00 Bohr magnetons per cell
D(E_F) = 5.37 states/eV/f.u.
volume = 34.751 Å³ per atom
DFT total energy = -13.6 eV/f.u.
formation energy (no corrections) = -0.175 eV/atom

```
data_Ca3SiHg
_chemical_formula_sum 'Ca3 Si1 Hg1'
_cell_length_a 5.580
_cell_length_b 5.580
_cell_length_c 5.580
_cell_angle_alpha 90.00
_cell_angle_beta 90.00
_cell_angle_gamma 90.00
_space_group_name_H-M_alt 'P m -3 m'
_space_group_IT_number 221
_space_group_name_Hall '-P 4 2 3'
loop_
_atom_site_label
_atom_site_type_symbol
_atom_site_fract_x
_atom_site_fract_y
_atom_site_fract_z
Ca1 Ca 0.000 0.000 0.500
Si1 Si 0.000 0.000 0.000
Hg1 Hg 0.500 0.500 0.500
```